Below is TlBi5Au3 after structural relaxation, with properties calculated at the PBE-GGA level.

For the calculated total energy, the calculation gives -31.57 eV per cell.

The structure in CIF format:
```
data_TlBi5Au3
_cell_length_a 5.8589
_cell_length_b 5.8589
_cell_length_c 8.6246
_cell_angle_alpha 90.00
_cell_angle_beta 90.00
_cell_angle_gamma 120.00
_symmetry_space_group_name_H-M 'P 6/m m m'
_symmetry_Int_Tables_number 191
_symmetry_space_group_name_Hall '-P 6 2'
loop_
_atom_site_label
_atom_site_fract_x
_atom_site_fract_y
_atom_site_fract_z
Tl1 0.0000 0.0000 0.0000
Bi1 0.0000 0.0000 0.5000
Bi2 0.3333 0.6667 0.1987
Au1 0.0000 0.5000 0.5000
```

***

Below is Hf2Zr4C3S3 after structural relaxation, with properties calculated at the PBE-GGA level.

For the calculated total energy, the calculation gives -441.09 eV per cell. The value obtained for the spin magnetization is 0.0 μB/cell.

The structure in CIF format:
```
data_Hf2Zr4C3S3
_cell_length_a 10.240
_cell_length_b 5.912
_cell_length_c 12.656
_cell_angle_alpha 90.00
_cell_angle_beta 105.64
_cell_angle_gamma 90.00
_symmetry_space_group_name_H-M 'C 1 2/c 1'
_symmetry_Int_Tables_number 15
loop_
_symmetry_equiv_pos_as_xyz
'x,y,z'
'-x,-y,-z'
'-x,y,-z+1/2'
'x,-y,z+1/2'
'x+1/2,y+1/2,z'
'-x+1/2,-y+1/2,-z'
'-x+1/2,y+1/2,-z+1/2'
'x+1/2,-y+1/2,z+1/2'
loop_
_atom_site_label
_atom_site_fract_x
_atom_site_fract_y
_atom_site_fract_z
Hf1 0.051 0.084 0.401
Zr1 0.117 0.417 0.601
Zr2 0.216 0.416 0.899
C1 0.082 0.245 0.000
C2 0.250 0.250 0.500
S1 0.000 0.411 0.250
S2 0.164 0.080 0.750
```

***

Below is BaCu10P4 after structural relaxation, with properties calculated at the PBE-GGA level.

For the calculated total energy, the calculation gives -256.57 eV per cell.

The structure in CIF format:
```
data_BaCu10P4
_cell_length_a 23.297
_cell_length_b 3.870
_cell_length_c 9.558
_cell_angle_alpha 90.00
_cell_angle_beta 92.95
_cell_angle_gamma 90.00
_symmetry_space_group_name_H-M 'C 1 2/m 1'
_symmetry_Int_Tables_number 12
loop_
_symmetry_equiv_pos_as_xyz
'x,y,z'
'-x,-y,-z'
'-x,y,-z'
'x,-y,z'
'x+1/2,y+1/2,z'
'-x+1/2,-y+1/2,-z'
'-x+1/2,y+1/2,-z'
'x+1/2,-y+1/2,z'
loop_
_atom_site_label
_atom_site_fract_x
_atom_site_fract_y
_atom_site_fract_z
Ba1 0.143 0.000 0.283
Cu1 0.027 0.500 0.382
Cu2 0.033 0.500 0.119
Cu3 0.049 0.000 0.572
Cu4 0.057 0.000 0.951
Cu5 0.087 0.500 0.772
Cu6 0.151 0.000 0.651
Cu7 0.166 0.000 0.929
Cu8 0.213 0.500 0.535
Cu9 0.214 0.500 0.802
Cu10 0.224 0.500 0.068
P1 0.008 0.000 0.237
P2 0.108 0.500 0.537
P3 0.121 0.500 0.004
P4 0.248 0.000 0.689
```

***

Below is YNbGaCu after structural relaxation, with properties calculated at the PBE-GGA level.

For the calculated total energy, the calculation gives -88.72 eV per cell. The value obtained for the spin magnetization is 11.3 μB/cell.

The structure in CIF format:
```
data_YNbGaCu
_cell_length_a 6.736
_cell_length_b 6.736
_cell_length_c 6.736
_cell_angle_alpha 90.00
_cell_angle_beta 90.00
_cell_angle_gamma 90.00
_symmetry_space_group_name_H-M 'F -4 3 m'
_symmetry_Int_Tables_number 216
_symmetry_space_group_name_Hall 'F -4 2 3'
loop_
_atom_site_label
_atom_site_fract_x
_atom_site_fract_y
_atom_site_fract_z
Y1 0.000 0.000 0.000
Nb1 0.250 0.250 0.250
Ga1 0.000 0.000 0.500
Cu1 0.250 0.250 0.750
```

***

Below is BaAl2Cd after structural relaxation, with properties calculated at the PBE-GGA level.

For the calculated total energy, the calculation gives -40.79 eV per cell.

The structure in CIF format:
```
data_BaAl2Cd
_cell_length_a 7.449
_cell_length_b 7.449
_cell_length_c 7.449
_cell_angle_alpha 90.00
_cell_angle_beta 90.00
_cell_angle_gamma 90.00
_symmetry_space_group_name_H-M 'F -4 3 m'
_symmetry_Int_Tables_number 216
_symmetry_space_group_name_Hall 'F -4 2 3'
loop_
_atom_site_label
_atom_site_fract_x
_atom_site_fract_y
_atom_site_fract_z
Ba1 0.000 0.000 0.000
Al1 0.000 0.000 0.500
Al2 0.250 0.250 0.750
Cd1 0.250 0.250 0.250
```

***

Below is Ta2GaBiIr2 after structural relaxation, with properties calculated at the PBE-GGA level.

For the calculated total energy, the calculation gives -202.10 eV per cell. The value obtained for the spin magnetization is 0.0 μB/cell.

The structure in CIF format:
```
data_Ta2GaBiIr2
_cell_length_a 6.208
_cell_length_b 6.208
_cell_length_c 12.370
_cell_angle_alpha 90.00
_cell_angle_beta 90.00
_cell_angle_gamma 90.00
_symmetry_space_group_name_H-M 'I -4 2 d'
_symmetry_Int_Tables_number 122
_symmetry_space_group_name_Hall 'I -4 2bw'
loop_
_atom_site_label
_atom_site_fract_x
_atom_site_fract_y
_atom_site_fract_z
Ta1 0.000 0.000 0.243
Ga1 0.000 0.000 0.000
Bi1 0.000 0.000 0.500
Ir1 0.237 0.750 0.125
```

***

Below is Dy2SO6 after structural relaxation, with properties calculated at the PBE-GGA level.

For the calculated total energy, the calculation gives -269.56 eV per cell. The value obtained for the spin magnetization is 0.0 μB/cell.

The structure in CIF format:
```
data_Dy2SO6
_cell_length_a 13.317
_cell_length_b 4.135
_cell_length_c 7.987
_cell_angle_alpha 90.00
_cell_angle_beta 107.89
_cell_angle_gamma 90.00
_symmetry_space_group_name_H-M 'C 1 2/c 1'
_symmetry_Int_Tables_number 15
loop_
_symmetry_equiv_pos_as_xyz
'x,y,z'
'-x,-y,-z'
'-x,y,-z+1/2'
'x,-y,z+1/2'
'x+1/2,y+1/2,z'
'-x+1/2,-y+1/2,-z'
'-x+1/2,y+1/2,-z+1/2'
'x+1/2,-y+1/2,z+1/2'
loop_
_atom_site_label
_atom_site_fract_x
_atom_site_fract_y
_atom_site_fract_z
Dy1 0.171 0.010 0.085
S1 0.000 0.446 0.250
O1 0.001 0.232 0.401
O2 0.096 0.353 0.798
O3 0.245 0.480 0.623
```

***

Below is GdBePO after structural relaxation, with properties calculated at the PBE-GGA level.

For the calculated total energy, the calculation gives -52.64 eV per cell. The value obtained for the spin magnetization is 0.0 μB/cell.

The structure in CIF format:
```
data_GdBePO
_cell_length_a 3.772
_cell_length_b 3.772
_cell_length_c 8.396
_cell_angle_alpha 90.00
_cell_angle_beta 90.00
_cell_angle_gamma 90.00
_symmetry_space_group_name_H-M 'P 4/n m m'
_symmetry_Int_Tables_number 129
loop_
_symmetry_equiv_pos_as_xyz
'x,y,z'
'-x,-y,-z'
'-y+1/2,x,z'
'y+1/2,-x,-z'
'-x+1/2,-y+1/2,z'
'x+1/2,y+1/2,-z'
'y,-x+1/2,z'
'-y,x+1/2,-z'
'x+1/2,-y,-z'
'-x+1/2,y,z'
'-y,-x,-z'
'y,x,z'
'-x,y+1/2,-z'
'x,-y+1/2,z'
'y+1/2,x+1/2,-z'
'-y+1/2,-x+1/2,z'
loop_
_atom_site_label
_atom_site_fract_x
_atom_site_fract_y
_atom_site_fract_z
Gd1 0.250 0.250 0.143
Be1 0.250 0.750 0.500
P1 0.250 0.250 0.647
O1 0.250 0.750 0.000
```

***

Below is HoNbAg after structural relaxation, with properties calculated at the PBE-GGA level.

The value obtained for the spin magnetization is 12.2 μB/cell. For the formation energy, the calculation gives 26.0 kcal/mol of atoms.

The structure in CIF format:
```
data_HoNbAg
_cell_length_a 6.753
_cell_length_b 6.753
_cell_length_c 6.753
_cell_angle_alpha 90.00
_cell_angle_beta 90.00
_cell_angle_gamma 90.00
_symmetry_space_group_name_H-M 'F -4 3 m'
_symmetry_Int_Tables_number 216
_symmetry_space_group_name_Hall 'F -4 2 3'
loop_
_atom_site_label
_atom_site_fract_x
_atom_site_fract_y
_atom_site_fract_z
Ho1 0.000 0.000 0.000
Nb1 0.250 0.250 0.250
Ag1 0.250 0.250 0.750
```

***

Below is La3Sn3PdPt2 after structural relaxation, with properties calculated at the PBE-GGA level.

For the calculated total energy, the calculation gives -107.12 eV per cell. The value obtained for the spin magnetization is 0.0 μB/cell.

The structure in CIF format:
```
data_La3Sn3PdPt2
_cell_length_a 4.211
_cell_length_b 13.380
_cell_length_c 7.722
_cell_angle_alpha 90.00
_cell_angle_beta 90.00
_cell_angle_gamma 90.00
_symmetry_space_group_name_H-M 'A m m 2'
_symmetry_Int_Tables_number 38
loop_
_symmetry_equiv_pos_as_xyz
'x,y,z'
'-x,-y,z'
'-x,y,z'
'x,-y,z'
'x,y+1/2,z+1/2'
'-x,-y+1/2,z+1/2'
'-x,y+1/2,z+1/2'
'x,-y+1/2,z+1/2'
loop_
_atom_site_label
_atom_site_fract_x
_atom_site_fract_y
_atom_site_fract_z
La1 0.000 0.000 0.000
La2 0.000 0.207 0.622
Sn1 0.500 0.000 0.662
Sn2 0.500 0.124 0.291
Pd1 0.000 0.000 0.414
Pt1 0.500 0.166 0.916
```